No. 1
! HfInN2O (GGA-PBE, optimized geometry); values from VASP
! Volume = 14.53 A^3/atom
! Formation energy from raw total energies = -432 meV per atom
! D(E_F) = 3.85 states/eV per cell
! SG = No. 123
&SYSTEM
  ibrav = 0, nat = 5, ntyp = 4
/
ATOMIC_SPECIES
N 14.01 N.upf
Hf 178.49 Hf.upf
In 114.82 In.upf
O 16.00 O.upf
ATOMIC_POSITIONS crystal
N 0.5000 0.0000 0.0000
N 0.0000 0.5000 0.0000
Hf 0.0000 0.0000 0.0000
In 0.5000 0.5000 0.5000
O 0.0000 0.0000 0.5000
CELL_PARAMETERS angstrom
4.2522 0.0000 0.0000
0.0000 4.2522 0.0000
0.0000 0.0000 4.0188

=====

No. 2
! HfInN2O (GGA-PBE, optimized geometry); values from VASP
! Volume = 13.13 A^3/atom
! Formation energy from raw total energies = 417 meV per atom
! D(E_F) = 2.21 states/eV per cell
! SG = No. 123
&SYSTEM
  ibrav = 0, nat = 5, ntyp = 4
/
ATOMIC_SPECIES
Hf 178.49 Hf.upf
O 16.00 O.upf
N 14.01 N.upf
In 114.82 In.upf
ATOMIC_POSITIONS crystal
Hf 0.5000 0.5000 0.5000
O 0.0000 0.0000 0.5000
N 0.5000 0.0000 0.0000
N 0.0000 0.5000 0.0000
In 0.0000 0.0000 0.0000
CELL_PARAMETERS angstrom
-1.7656 -1.1928 -3.4660
3.3937 -1.9856 -1.0455
-1.3499 -3.2600 1.8096

=====

No. 3
! HfInRhN2 (GGA-PBE, optimized geometry); values from VASP
! Volume = 16.82 A^3/atom
! Formation energy from raw total energies = 1246 meV per atom
! D(E_F) = 5.31 states/eV per cell
! SG = No. 123
&SYSTEM
  ibrav = 0, nat = 5, ntyp = 4
/
ATOMIC_SPECIES
N 14.01 N.upf
Hf 178.49 Hf.upf
In 114.82 In.upf
Rh 102.91 Rh.upf
ATOMIC_POSITIONS crystal
N 0.5000 0.0000 0.0000
N 0.0000 0.0000 0.5000
Hf 0.5000 0.5000 0.5000
In 0.0000 0.5000 0.0000
Rh 0.0000 0.0000 0.0000
CELL_PARAMETERS angstrom
-1.3527 2.4167 -2.8498
-4.5368 0.6545 2.7086
1.5798 3.1165 1.8930

=====

No. 4
! HfInSN2 (GGA-PBE, optimized geometry); values from VASP
! Volume = 16.49 A^3/atom
! Formation energy from raw total energies = 1004 meV per atom
! Relative energy among the computed polymorphs = 22.47 kcal/mol of atoms
! D(E_F) = 2.49 states/eV per cell
! SG = No. 123
&SYSTEM
  ibrav = 0, nat = 5, ntyp = 4
/
ATOMIC_SPECIES
Hf 178.49 Hf.upf
In 114.82 In.upf
S 32.06 S.upf
N 14.01 N.upf
ATOMIC_POSITIONS crystal
Hf 0.5000 0.5000 0.5000
In 0.0000 0.0000 0.0000
S 0.0000 0.0000 0.5000
N 0.5000 0.0000 0.0000
N 0.0000 0.5000 0.0000
CELL_PARAMETERS angstrom
4.0629 0.0000 0.0000
0.0000 4.0629 0.0000
0.0000 0.0000 4.9963

=====

No. 5
! HfInS2N (GGA-PBE, optimized geometry); values from VASP
! Volume = 21.04 A^3/atom
! Formation energy from raw total energies = -353 meV per atom
! D(E_F) = 5.53 states/eV per cell
! SG = No. 123
&SYSTEM
  ibrav = 0, nat = 5, ntyp = 4
/
ATOMIC_SPECIES
In 114.82 In.upf
S 32.06 S.upf
Hf 178.49 Hf.upf
N 14.01 N.upf
ATOMIC_POSITIONS crystal
In 0.5000 0.5000 0.5000
S 0.0000 0.5000 0.0000
S 0.5000 0.0000 0.0000
Hf 0.0000 0.0000 0.0000
N 0.0000 0.0000 0.5000
CELL_PARAMETERS angstrom
5.0584 0.0000 0.0000
0.0000 5.0584 0.0000
0.0000 0.0000 4.1113

=====

No. 6
! HfInSN2 (GGA-PBE, optimized geometry); values from VASP
! Volume = 17.96 A^3/atom
! Formation energy from raw total energies = 30 meV per atom
! Relative energy among the computed polymorphs = 0.00 kcal/mol of atoms
! D(E_F) = 2.87 states/eV per cell
! SG = No. 123
&SYSTEM
  ibrav = 0, nat = 5, ntyp = 4
/
ATOMIC_SPECIES
In 114.82 In.upf
N 14.01 N.upf
S 32.06 S.upf
Hf 178.49 Hf.upf
ATOMIC_POSITIONS crystal
In 0.5000 0.5000 0.5000
N 0.0000 0.5000 0.0000
N 0.5000 0.0000 0.0000
S 0.0000 0.0000 0.5000
Hf 0.0000 0.0000 0.0000
CELL_PARAMETERS angstrom
4.1041 0.0000 0.0000
0.0000 4.1041 0.0000
0.0000 0.0000 5.3301

=====

No. 7
! HfScIn2N (GGA-PBE, optimized geometry); values from VASP
! Volume = 20.06 A^3/atom
! Formation energy from raw total energies = 28 meV per atom
! D(E_F) = 4.53 states/eV per cell
! SG = No. 123
&SYSTEM
  ibrav = 0, nat = 5, ntyp = 4
/
ATOMIC_SPECIES
Hf 178.49 Hf.upf
In 114.82 In.upf
N 14.01 N.upf
Sc 44.96 Sc.upf
ATOMIC_POSITIONS crystal
Hf 0.5000 0.5000 0.5000
In 0.5000 0.0000 0.0000
In 0.0000 0.0000 0.5000
N 0.0000 0.0000 0.0000
Sc 0.0000 0.5000 0.0000
CELL_PARAMETERS angstrom
4.9278 0.0000 0.0000
0.0000 4.1305 0.0000
0.0000 0.0000 4.9278

=====

No. 8
! Hf2ScInN (GGA-PBE, optimized geometry); values from VASP
! Volume = 17.83 A^3/atom
! Formation energy from raw total energies = -870 meV per atom
! D(E_F) = 2.72 states/eV per cell
! SG = No. 123
&SYSTEM
  ibrav = 0, nat = 5, ntyp = 4
/
ATOMIC_SPECIES
N 14.01 N.upf
Hf 178.49 Hf.upf
Sc 44.96 Sc.upf
In 114.82 In.upf
ATOMIC_POSITIONS crystal
N 0.0000 0.0000 0.0000
Hf 0.0000 0.5000 0.0000
Hf 0.5000 0.0000 0.0000
Sc 0.0000 0.0000 0.5000
In 0.5000 0.5000 0.5000
CELL_PARAMETERS angstrom
-1.8283 2.9373 2.7850
1.8014 -2.1461 3.4461
3.6876 2.5923 -0.3133